## Er2PaTa (PBE-GGA)

Data for crystalline Er2PaTa at its relaxed geometry.

a b c (Å): 3.1966 3.1966 34.4268
angles (deg): 90.00 90.00 120.00
Space group R-3m (No. 166, hexagonal axes)
Symmetry-distinct sites (fractional):
Er 0.0000 0.0000 0.0853 [6 per cell]
Pa 0.0000 0.0000 0.5000 [3 per cell]
Ta 0.0000 0.0000 0.0000 [3 per cell]

Properties
The total magnetization comes out at 0.35 μB per formula unit. The formation enthalpy at 0 K is 0.564 eV/atom. The value obtained for the total energy is -84.7 eV per cell.